DFT (PBEsol) results for a relaxed structure of YMoP.

Summary:
Energy relative to the elements, eV per atom: -0.52
Calculated volume, Å³ per cell: 56.71

Structure (CIF):
```
data_YMoP
_chemical_formula_sum 'Y1 Mo1 P1'
_symmetry_space_group_name_H-M 'P -6 m 2'
_symmetry_Int_Tables_number 187
_symmetry_space_group_name_Hall 'P -6 2'
_cell_length_a 4.1123
_cell_length_b 4.1123
_cell_length_c 3.8722
_cell_angle_alpha 90.00
_cell_angle_beta 90.00
_cell_angle_gamma 120.00
loop_
_atom_site_label
_atom_site_fract_x
_atom_site_fract_y
_atom_site_fract_z
Y1 0.0000 0.0000 0.0000
Mo1 0.3333 0.6667 0.5000
P1 0.6667 0.3333 0.5000
```


DFT (PBEsol) results for a relaxed structure of AlSiTe2.

Summary:
Uncorrected formation energy, eV per atom: 0.20
Energy above the lowest structure with this stoichiometry, meV/atom: 0.0
Calculated volume, Å³ per cell: 192.77

Structure (CIF):
```
data_AlSiTe2
_chemical_formula_sum 'Al2 Si2 Te4'
_symmetry_space_group_name_H-M 'C m m 2'
_symmetry_Int_Tables_number 35
_cell_length_a 3.7262
_cell_length_b 5.7057
_cell_length_c 9.0669
_cell_angle_alpha 90.00
_cell_angle_beta 90.00
_cell_angle_gamma 90.00
loop_
_symmetry_equiv_pos_as_xyz
'x,y,z'
'-x,-y,z'
'-x,y,z'
'x,-y,z'
'x+1/2,y+1/2,z'
'-x+1/2,-y+1/2,z'
'-x+1/2,y+1/2,z'
'x+1/2,-y+1/2,z'
loop_
_atom_site_label
_atom_site_fract_x
_atom_site_fract_y
_atom_site_fract_z
Al1 0.0000 0.0000 0.0000
Si1 0.0000 0.5000 0.8023
Te1 0.0000 0.0000 0.5893
Te2 0.0000 0.5000 0.2173
```


DFT (PBEsol) results for a relaxed structure of CaB4.

Summary:
Energy relative to the elements, eV per atom: -0.42
Calculated volume, Å³ per cell: 206.34

Structure (CIF):
```
data_CaB4
_chemical_formula_sum 'Ca4 B16'
_symmetry_space_group_name_H-M 'P 4/m b m'
_symmetry_Int_Tables_number 127
_symmetry_space_group_name_Hall '-P 4 2ab'
_cell_length_a 7.1233
_cell_length_b 7.1233
_cell_length_c 4.0664
_cell_angle_alpha 90.00
_cell_angle_beta 90.00
_cell_angle_gamma 90.00
loop_
_atom_site_label
_atom_site_fract_x
_atom_site_fract_y
_atom_site_fract_z
Ca1 0.1868 0.3132 0.0000
B1 0.0000 0.0000 0.2055
B2 0.0361 0.8245 0.5000
B3 0.0857 0.5857 0.5000
```


DFT (PBEsol) results for a relaxed structure of ScNiW3.

Summary:
Energy relative to the elements, eV per atom: 2.70
Calculated volume, Å³ per cell: 90.67

Structure (CIF):
```
data_ScNiW3
_chemical_formula_sum 'Sc1 Ni1 W3'
_symmetry_space_group_name_H-M 'P m -3 m'
_symmetry_Int_Tables_number 221
_symmetry_space_group_name_Hall '-P 4 2 3'
_cell_length_a 4.4926
_cell_length_b 4.4926
_cell_length_c 4.4926
_cell_angle_alpha 90.00
_cell_angle_beta 90.00
_cell_angle_gamma 90.00
loop_
_atom_site_label
_atom_site_fract_x
_atom_site_fract_y
_atom_site_fract_z
Sc1 0.0000 0.0000 0.0000
Ni1 0.5000 0.5000 0.5000
W1 0.0000 0.0000 0.5000
```


Q: Which value of calculated volume does entry 2 give?
A: 192.77 Å³ per cell